Record 1
A plane-wave DFT calculation with PBE was carried out for NaThHg4 after structural relaxation.

DOS at the Fermi energy (states/eV/cell): 8.35
DFT formation energy (eV per formula unit): -0.69

Unit cell a=5.141 b=8.029 c=8.848 alpha=90.00 beta=107.39 gamma=90.00
Positions (direct):
Na (0.688, 0.750, 0.739)
Na (0.312, 0.250, 0.261)
Th (0.150, 0.750, 0.303)
Th (0.850, 0.250, 0.697)
Hg (0.284, 0.449, 0.573)
Hg (0.716, 0.949, 0.427)
Hg (0.284, 0.051, 0.573)
Hg (0.716, 0.551, 0.427)
Hg (0.000, 0.500, 0.000)
Hg (0.000, 0.000, 0.000)
Hg (0.526, 0.750, 0.067)
Hg (0.474, 0.250, 0.933)

***

Record 2
A plane-wave DFT calculation with PBE was carried out for NaThHg2 after structural relaxation.

DOS at the Fermi energy (states/eV/cell): 3.57
DFT formation energy (eV per formula unit): -0.40

Unit cell a=3.533 b=3.533 c=10.498 alpha=80.31 beta=80.31 gamma=60.00
Positions (direct):
Na (0.000, 0.000, 0.000)
Hg (0.748, 0.748, 0.757)
Hg (0.252, 0.252, 0.243)
Th (0.500, 0.500, 0.500)

***

Record 3
A plane-wave DFT calculation with PBE was carried out for Na2ThHg8 after structural relaxation.

DOS at the Fermi energy (states/eV/cell): 5.18
DFT formation energy (eV per formula unit): -1.84

Unit cell a=5.018 b=7.967 c=8.481 alpha=118.02 beta=107.21 gamma=90.00
Positions (direct):
Na (0.207, 0.707, 0.414)
Na (0.793, 0.293, 0.586)
Th (0.500, 0.000, 0.000)
Hg (0.646, 0.843, 0.292)
Hg (0.354, 0.551, 0.708)
Hg (0.158, 0.158, 0.317)
Hg (0.000, 0.307, 0.000)
Hg (0.842, 0.842, 0.683)
Hg (0.646, 0.449, 0.292)
Hg (0.354, 0.157, 0.708)
Hg (0.000, 0.693, 0.000)